Entry 1:
# Tl3Bi2

A geometry-optimized Tl3Bi2 structure (PBE, the Alexandria database).

Output
Symmetry: No. 43
Calculated density (g/cm³): 10.5
Offset from the most stable computed form (eV/f.u.): 0.223

Unit cell a=5.973 b=6.841 c=9.388 alpha=82.02 beta=71.45 gamma=64.11
Positions (direct):
Bi 0.813 0.556 0.074
Bi 0.120 0.944 0.574
Tl 0.675 0.500 0.500
Tl 0.537 0.940 0.804
Tl 0.281 0.060 0.196
Tl 0.091 0.440 0.696
Bi 0.637 0.056 0.426
Tl 0.227 0.560 0.304
Bi 0.444 0.444 0.926
Tl 0.925 0.000 0.000

***

Entry 2:
# TlBi

A geometry-optimized TlBi structure (PBE, the Alexandria database).

Output
Symmetry: No. 221
Calculated density (g/cm³): 10.9
E (Ry/atom): -0.2241

Unit cell a=3.979 b=3.979 c=3.979 alpha=90.00 beta=90.00 gamma=90.00
Positions (direct):
Bi 0.500 0.500 0.500
Tl 0.000 0.000 0.000

***

Q: Which value of calculated density does entry 1 give?
A: 10.5 g/cm³